# SrCdIn2Pt

SrCdIn2Pt after structural relaxation (PBE-GGA, Alexandria via LeMat-Bulk).

Lattice parameters (Å, degrees): 5.2212 5.2212 5.2837 90.00 90.00 90.00
Closest atoms and distances in Å follow each position.
Space group P4/mmm (No. 123)
One atom of each set of equivalent atoms:
Sr 0.0000 0.0000 0.0000 [1 per cell]  4 Cd 3.69, 8 In 3.71
Cd 0.5000 0.5000 0.0000 [1 per cell]  2 Pt 2.64
In 0.0000 0.5000 0.5000 [2 per cell]  2 Pt 2.61
Pt 0.5000 0.5000 0.5000 [1 per cell]  4 In 2.61, 2 Cd 2.64

Its size of the total moment is 0.00 μB/atom. The density of states at the Fermi level is 3.9 states/eV/f.u. Its energy relative to the elements is -0.33 eV/atom. The calculated total energy comes out at -3.15 eV/atom. The theoretical density is 7.2 g/cm³.